Compound: Dy2Pd9Pt
Source: Alexandria via LeMat-Bulk
Functional: PBE
Structure: relaxed

```
Dy2Pd9Pt
1.0
-1.439 -1.587 3.454
3.757 -1.153 1.036
1.728 10.697 5.634
Pd Dy Pt
9 2 1
direct
0.500 0.500 0.329
0.500 0.000 0.841
0.500 0.500 0.671
0.500 0.000 0.500
0.500 0.000 0.159
0.000 0.500 0.159
0.500 0.500 0.000
0.000 0.500 0.841
0.000 0.500 0.500
0.000 0.000 0.329
0.000 0.000 0.671
0.000 0.000 0.000
```

Theoretical density: 12.2 g/cm³
Final energy: -5.75 eV per atom
ΔH_f (0 K): -0.582 eV per atom
Density of states at the Fermi level: 9.6 states/eV/cell
Symmetry: P4/mmm, No. 123

Compound: DyPd6Pt
Source: Alexandria via LeMat-Bulk
Functional: PBE
Structure: relaxed

```
DyPd6Pt
1.0
-0.597 -1.442 3.803
5.073 -2.513 -0.156
2.379 4.671 2.145
Pd Dy Pt
6 1 1
direct
0.500 0.500 0.000
0.000 0.744 0.744
0.000 0.744 0.256
0.000 0.256 0.744
0.500 0.000 0.500
0.000 0.256 0.256
0.500 0.000 0.000
0.500 0.500 0.500
```

Theoretical density: 12.5 g/cm³
Final energy: -5.65 eV per atom
ΔH_f (0 K): -0.421 eV per atom
Density of states at the Fermi level: 13.0 states/eV/cell
Symmetry: P4/mmm, No. 123
E above lowest polymorph: 0.00 eV per formula unit